CaSiMo | PBE | optimized geometry

Values from the calculation:
DOS at the Fermi energy = 2.0 states/eV/cell
Energy = -0.3475 Ry/atom
Space-group type = No. 216
Raw formation energy = 1.357 eV/atom
Size of the total moment = 3.904 μB per formula unit

a b c (Å): 4.741 4.741 4.741
angles (deg): 60.00 60.00 60.00
Last column: magnetic moment on the atom in μB.
Positions (direct):
Si 0.500 0.500 0.500  -0.09
Ca 0.750 0.750 0.750  0.14
Mo 0.000 0.000 0.000  3.19

---

DyZnAu | PBE | optimized geometry

Values from the calculation:
DOS at the Fermi energy = 1.2 states/eV/cell
Energy = -0.2638 Ry/atom
Space-group type = No. 107
Energy relative to the elements = -0.538 eV/atom
Size of the total moment = 0.000 μB per formula unit

a b c (Å): 3.663 3.663 5.321
angles (deg): 110.13 110.13 90.00
Positions (direct):
Dy 0.951 0.951 0.902
Au 0.625 0.625 0.251
Zn 0.273 0.273 0.547

---

Mo2PSe | PBE | optimized geometry

Values from the calculation:
DOS at the Fermi energy = 4.2 states/eV/cell
Energy = -0.5469 Ry/atom
Space-group type = No. 35
Raw formation energy = 0.199 eV/atom
Size of the total moment = 0.000 μB per formula unit

a b c (Å): 2.862 2.862 9.247
angles (deg): 90.00 90.00 106.22
Positions (direct):
P 0.000 0.000 0.565
Se 0.500 0.500 0.196
Mo 0.000 0.000 0.986
Mo 0.500 0.500 0.753

---

Rb2ZnPdF6 | PBE | optimized geometry

Values from the calculation:
DOS at the Fermi energy = 0.0 states/eV/cell
Energy = -0.3043 Ry/atom
Space-group type = No. 225
Raw formation energy = -2.177 eV/atom
Size of the total moment = 2.000 μB per formula unit

a b c (Å): 6.063 6.063 6.062
angles (deg): 60.00 60.00 90.00
Last column: magnetic moment on the atom in μB.
Positions (direct):
F 0.259 0.741 0.000  0.07
F 0.259 0.259 0.482  0.07
F 0.741 0.259 0.000  0.07
F 0.259 0.259 0.000  0.07
F 0.741 0.741 0.000  0.07
F 0.741 0.741 0.518  0.07
Pd 0.000 0.000 0.000  1.46
Zn 0.500 0.500 0.000  0.06
Rb 0.250 0.750 0.500  0.00
Rb 0.750 0.250 0.500  0.00

---

SrSc2Hg | PBE | optimized geometry

Values from the calculation:
DOS at the Fermi energy = 3.9 states/eV/cell
Energy = -0.2635 Ry/atom
Space-group type = No. 119
Energy relative to the elements = 0.077 eV/atom
Size of the total moment = 0.000 μB per formula unit

a b c (Å): 5.803 5.803 5.803
angles (deg): 131.46 131.46 71.09
Positions (direct):
Sr 0.500 0.500 0.000
Sc 0.250 0.750 0.500
Sc 0.000 0.000 0.000
Hg 0.750 0.250 0.500

---

Y3NbGe | PBE | optimized geometry

Values from the calculation:
DOS at the Fermi energy = 4.5 states/eV/cell
Energy = -0.4573 Ry/atom
Space-group type = No. 221
Energy relative to the elements = 0.594 eV/atom
Size of the total moment = 0.000 μB per formula unit

a b c (Å): 5.354 5.354 5.354
angles (deg): 90.00 90.00 90.00
Positions (direct):
Y 0.500 0.000 0.000
Y 0.000 0.500 0.000
Y 0.000 0.000 0.500
Nb 0.000 0.000 0.000
Ge 0.500 0.500 0.500

---

Which value of DOS at the Fermi energy does entry 5 give? 3.9 states/eV/cell

---

Please write out number 1 again, unchanged.
CaSiMo | PBE | optimized geometry

Values from the calculation:
DOS at the Fermi energy = 2.0 states/eV/cell
Energy = -0.3475 Ry/atom
Space-group type = No. 216
Raw formation energy = 1.357 eV/atom
Size of the total moment = 3.904 μB per formula unit

a b c (Å): 4.741 4.741 4.741
angles (deg): 60.00 60.00 60.00
Last column: magnetic moment on the atom in μB.
Positions (direct):
Si 0.500 0.500 0.500  -0.09
Ca 0.750 0.750 0.750  0.14
Mo 0.000 0.000 0.000  3.19

---

Which of these has the lowest energy? Mo2PSe

---

size of the total moment of number 3 (Mo2PSe)? 0.000 μB per formula unit